1.
First-principles (PBE) data for Ho3As2P after structural relaxation, as listed in Alexandria. Values from VASP.

```
&SYSTEM
  ibrav = 0, nat = 24, ntyp = 3
/
ATOMIC_SPECIES
Ho 164.93 Ho.upf
As 74.92 As.upf
P 30.97 P.upf
ATOMIC_POSITIONS angstrom
Ho 3.025 1.407 7.078
Ho 5.124 4.309 9.136
Ho 3.068 1.407 11.195
Ho 5.100 4.280 13.169
Ho 7.156 7.182 15.227
Ho 5.057 4.280 17.286
Ho 3.068 7.211 7.078
Ho 0.969 4.309 9.136
Ho 3.025 7.211 11.195
Ho 5.057 10.084 13.169
Ho 3.001 7.182 15.227
Ho 5.100 10.084 17.286
As 3.047 4.309 3.055
As 3.047 4.309 7.119
As 5.078 7.182 9.146
As 3.047 4.309 11.154
As 5.078 7.182 13.210
As 3.047 4.309 15.218
As 5.078 7.182 17.245
As 5.078 7.182 21.309
P 1.016 1.436 1.016
P 1.016 1.436 5.075
P 7.109 10.055 19.289
P 7.109 10.055 23.348
CELL_PARAMETERS angstrom
0.000 5.746 12.182
4.063 0.000 12.182
4.063 5.746 0.000
```

- ΔE_f: -9.33 eV/f.u.
- Crystal system: orthorhombic


2.
First-principles (PBE) data for Ac2Zn3Hg6 after structural relaxation, as listed in Alexandria. Values from VASP.

```
&SYSTEM
  ibrav = 0, nat = 11, ntyp = 3
/
ATOMIC_SPECIES
Ac 227.00 Ac.upf
Zn 65.41 Zn.upf
Hg 200.59 Hg.upf
ATOMIC_POSITIONS angstrom
Ac 0.000 4.799 0.000
Ac 4.156 2.399 0.000
Zn -2.660 4.607 2.341
Zn 1.496 2.591 2.341
Zn 5.320 0.000 2.341
Hg -1.324 2.294 2.341
Hg -3.306 5.726 0.000
Hg 0.850 1.473 0.000
Hg 2.649 0.000 2.341
Hg 2.832 4.904 2.341
Hg 6.611 0.000 0.000
CELL_PARAMETERS angstrom
8.312 0.000 0.000
-4.156 7.198 0.000
0.000 0.000 4.682
```

- ΔE_f: -2.84 eV/f.u.
- Crystal system: hexagonal


3.
First-principles (PBE) data for Dy6ZnHg after structural relaxation, as listed in Alexandria. Values from VASP.

```
&SYSTEM
  ibrav = 0, nat = 8, ntyp = 3
/
ATOMIC_SPECIES
Dy 162.50 Dy.upf
Zn 65.41 Zn.upf
Hg 200.59 Hg.upf
ATOMIC_POSITIONS angstrom
Dy 2.530 0.000 1.902
Dy 0.000 0.000 4.376
Dy 2.530 0.000 6.870
Dy 0.000 2.530 1.902
Dy 0.000 0.000 13.169
Dy 0.000 2.530 6.870
Zn 0.000 0.000 0.000
Hg 0.000 0.000 8.773
CELL_PARAMETERS angstrom
-2.530 2.530 8.773
2.530 -2.530 8.773
2.530 2.530 -8.773
```

- ΔE_f: -1.48 eV/f.u.
- Crystal system: tetragonal


4.
First-principles (PBE) data for B5C after structural relaxation, as listed in Alexandria. Values from VASP.

```
&SYSTEM
  ibrav = 0, nat = 6, ntyp = 2
/
ATOMIC_SPECIES
B 10.81 B.upf
C 12.01 C.upf
ATOMIC_POSITIONS angstrom
B 0.000 0.000 0.000
B 1.188 2.548 -1.000
B 0.000 2.300 0.340
B 0.000 0.930 1.483
B 0.000 4.655 0.340
C 0.000 3.477 1.443
CELL_PARAMETERS angstrom
-1.188 3.477 2.482
1.188 -3.477 2.482
1.188 3.477 -2.482
```

- E above lowest polymorph: 200 meV per atom
- ΔE_f: 2.38 eV/f.u.
- Crystal system: orthorhombic


5.
First-principles (PBE) data for Pr4AgAu after structural relaxation, as listed in Alexandria. Values from VASP.

```
&SYSTEM
  ibrav = 0, nat = 12, ntyp = 3
/
ATOMIC_SPECIES
Pr 140.91 Pr.upf
Ag 107.87 Ag.upf
Au 196.97 Au.upf
ATOMIC_POSITIONS angstrom
Pr 1.017 1.086 2.641
Pr 0.788 2.604 6.220
Pr 2.414 4.836 2.338
Pr 2.185 6.235 5.918
Pr 5.057 1.145 1.241
Pr 4.828 2.545 4.821
Pr 6.454 4.776 0.939
Pr 6.225 6.295 4.518
Ag 0.000 0.000 0.000
Ag -0.229 3.690 3.579
Au 3.621 0.000 3.579
Au 3.850 3.690 0.000
CELL_PARAMETERS angstrom
7.700 0.000 0.000
0.000 7.381 0.000
-0.458 0.000 7.159
```

- E above lowest polymorph: 158 meV per atom
- ΔE_f: -0.88 eV/f.u.
- Crystal system: monoclinic


6.
First-principles (PBE) data for Nb3HAu after structural relaxation, as listed in Alexandria. Values from VASP.

```
&SYSTEM
  ibrav = 0, nat = 5, ntyp = 3
/
ATOMIC_SPECIES
Nb 92.91 Nb.upf
H 1.01 H.upf
Au 196.97 Au.upf
ATOMIC_POSITIONS angstrom
Nb 0.000 0.000 2.097
Nb 0.000 2.097 0.000
Nb 2.097 0.000 0.000
H 0.000 0.000 0.000
Au 2.097 2.097 2.097
CELL_PARAMETERS angstrom
4.194 0.000 0.000
0.000 4.194 0.000
0.000 0.000 4.194
```

- E above lowest polymorph: 0 meV per atom
- Crystal system: cubic


7.
First-principles (PBE) data for OsPt2Cl after structural relaxation, as listed in Alexandria. Values from VASP.

```
&SYSTEM
  ibrav = 0, nat = 4, ntyp = 3
/
ATOMIC_SPECIES
Os 190.23 Os.upf
Pt 195.08 Pt.upf
Cl 35.45 Cl.upf
ATOMIC_POSITIONS angstrom
Os 0.000 0.000 0.000
Pt 1.438 1.438 1.784
Pt 1.438 1.438 6.077
Cl 0.000 0.000 3.930
CELL_PARAMETERS angstrom
2.876 0.000 0.000
0.000 2.876 0.000
0.000 0.000 7.861
```

- E above lowest polymorph: 113 meV per atom
- Crystal system: tetragonal


8.
First-principles (PBE) data for RbCuH2 after structural relaxation, as listed in Alexandria. Values from VASP.

```
&SYSTEM
  ibrav = 0, nat = 8, ntyp = 3
/
ATOMIC_SPECIES
Rb 85.47 Rb.upf
Cu 63.55 Cu.upf
H 1.01 H.upf
ATOMIC_POSITIONS angstrom
Rb 0.000 0.000 0.000
Rb 0.000 2.778 1.964
Cu 2.778 0.000 1.964
Cu 0.000 0.000 3.928
H 1.389 -0.031 2.946
H 2.746 1.389 0.982
H 1.389 2.809 -0.982
H 0.031 1.389 4.911
CELL_PARAMETERS angstrom
-2.778 2.778 3.928
2.778 -2.778 3.928
2.778 2.778 -3.928
```

- E above lowest polymorph: 0 meV per atom
- Crystal system: tetragonal


9.
First-principles (PBE) data for SmY2Tm after structural relaxation, as listed in Alexandria. Values from VASP.

```
&SYSTEM
  ibrav = 0, nat = 4, ntyp = 3
/
ATOMIC_SPECIES
Sm 150.36 Sm.upf
Y 88.91 Y.upf
Tm 168.93 Tm.upf
ATOMIC_POSITIONS angstrom
Sm 0.000 0.000 0.000
Y 1.781 1.781 2.569
Y 1.781 1.781 7.538
Tm 0.000 0.000 5.054
CELL_PARAMETERS angstrom
3.562 0.000 0.000
0.000 3.562 0.000
0.000 0.000 10.107
```

- E above lowest polymorph: 19 meV per atom
- ΔE_f: 0.10 eV/f.u.
- Crystal system: tetragonal


10.
First-principles (PBE) data for Gd2ClO after structural relaxation, as listed in Alexandria. Values from VASP.

```
&SYSTEM
  ibrav = 0, nat = 4, ntyp = 3
/
ATOMIC_SPECIES
Gd 157.25 Gd.upf
Cl 35.45 Cl.upf
O 16.00 O.upf
ATOMIC_POSITIONS angstrom
Gd 0.000 0.000 4.724
Gd 0.000 0.000 15.798
Cl 0.000 0.000 0.000
O 0.000 0.000 10.261
CELL_PARAMETERS angstrom
1.791 1.034 6.841
-1.791 1.034 6.841
0.000 -2.068 6.841
```

- DFT total energy: -42.9 eV per cell
- Crystal system: trigonal


11.
First-principles (PBE) data for SrUAsP after structural relaxation, as listed in Alexandria. Values from VASP.

```
&SYSTEM
  ibrav = 0, nat = 4, ntyp = 4
/
ATOMIC_SPECIES
Sr 87.62 Sr.upf
U 238.03 U.upf
As 74.92 As.upf
P 30.97 P.upf
ATOMIC_POSITIONS angstrom
Sr 0.000 0.000 0.000
U 0.000 0.000 10.468
As 0.000 0.000 5.008
P 0.000 0.000 16.086
CELL_PARAMETERS angstrom
2.083 1.203 7.050
-2.083 1.203 7.050
0.000 -2.405 7.050
```

- ΔE_f: -3.95 eV/f.u.
- Crystal system: trigonal


12.
First-principles (PBE) data for Sc4AgW after structural relaxation, as listed in Alexandria. Values from VASP.

```
&SYSTEM
  ibrav = 0, nat = 6, ntyp = 3
/
ATOMIC_SPECIES
Sc 44.96 Sc.upf
Ag 107.87 Ag.upf
W 183.84 W.upf
ATOMIC_POSITIONS angstrom
Sc 0.977 0.977 0.977
Sc 2.962 2.962 0.977
Sc 2.962 0.977 2.962
Sc 0.977 2.962 2.962
Ag 3.940 3.940 3.940
W 5.909 5.909 5.909
CELL_PARAMETERS angstrom
0.000 3.940 3.940
3.940 0.000 3.940
3.940 3.940 0.000
```

- ΔE_f: 3.76 eV/f.u.
- Crystal system: cubic